Entry 1:
Computed, not measured: a geometry-optimized Mg3H2O6 structure at the PBE level of DFT.

POSCAR file:
```
Mg3H2O6
1.0
5.413 -1.580 0.000
5.413 1.580 0.000
-2.092 0.000 8.207
Mg H O
3 2 6
direct
0.000 0.000 0.000 Mg
0.352 0.352 0.624 Mg
0.648 0.648 0.376 Mg
0.101 0.101 0.614 H
0.899 0.899 0.386 H
0.012 0.012 0.778 O
0.130 0.130 0.206 O
0.155 0.155 0.537 O
0.845 0.845 0.463 O
0.870 0.870 0.794 O
0.988 0.988 0.222 O
```

Output
* size of the total moment: 0.0 μB per cell
* energy: -5.20 eV per atom
* density: 2023 kg/m³

***

Entry 2:
Computed, not measured: a geometry-optimized PmS2IO8 structure at the PBE level of DFT.

POSCAR file:
```
PmS2IO8
1.0
5.630 0.000 0.000
-2.815 4.876 0.000
0.000 0.000 8.883
Pm S I O
1 2 1 8
direct
0.000 0.000 0.000 Pm
0.333 0.667 0.786 S
0.667 0.333 0.214 S
0.000 0.000 0.500 I
0.190 0.381 0.844 O
0.190 0.810 0.844 O
0.333 0.667 0.619 O
0.381 0.190 0.156 O
0.619 0.810 0.844 O
0.667 0.333 0.381 O
0.810 0.190 0.156 O
0.810 0.619 0.156 O
```

Output
* size of the total moment: 2.0 μB per cell
* energy: -6.08 eV per atom
* density: 3160 kg/m³

***

Entry 3:
Computed, not measured: a geometry-optimized NiAg2As structure at the PBE level of DFT.

POSCAR file:
```
NiAg2As
1.0
0.000 3.189 3.189
3.189 0.000 3.189
3.189 3.189 0.000
Ni Ag As
1 2 1
direct
0.000 0.000 0.000 Ni
0.500 0.500 0.500 Ag
0.750 0.750 0.750 Ag
0.250 0.250 0.250 As
```

Output
* size of the total moment: 0.0 μB per cell
* energy: -3.83 eV per atom
* density: 8941 kg/m³

***

Entry 4:
Computed, not measured: a geometry-optimized BaTi3Zn structure at the PBE level of DFT.

POSCAR file:
```
BaTi3Zn
1.0
4.959 0.000 0.000
0.000 4.959 0.000
0.000 0.000 4.959
Ba Ti Zn
1 3 1
direct
0.000 0.000 0.000 Ba
0.000 0.000 0.500 Ti
0.000 0.500 0.000 Ti
0.500 0.000 0.000 Ti
0.500 0.500 0.500 Zn
```

Output
* excess energy over the best structure of this formula in the dataset: 1.023 eV per atom
* size of the total moment: 1.3 μB per cell
* density: 4717 kg/m³